The following is a DFT calculation (PBE-GGA) of a geometry-optimized NpCuBr6 structure.

Cell: 7.076 7.059 7.353 Å, 61.08 77.83 64.01°
Each line ends with the local moment (μB).
Positions (direct):
Np: 0.000 0.000 0.000  -2.94
Cu: 0.500 0.500 0.000  0.26
Br: 0.730 0.418 0.709  0.10
Br: 0.731 0.126 0.290  0.10
Br: 0.269 0.874 0.710  0.10
Br: 0.270 0.582 0.291  0.10
Br: 0.777 0.779 0.000  0.10
Br: 0.223 0.221 0.000  0.10

Calculated values
VASP energy in eV per atom: -4.25
Energy relative to the lowest polymorph listed for this composition in eV per atom: 0.000
Formation energy without anion corrections in meV/atom: -865

***

The following is a DFT calculation (PBE-GGA) of a geometry-optimized ErHgBiPb structure.

Cell: 5.459 5.459 5.459 Å, 60.00 60.00 60.00°
Positions (direct):
Pb: 0.250 0.250 0.250
Er: 0.750 0.750 0.750
Bi: 0.500 0.500 0.500
Hg: 0.000 0.000 0.000

Calculated values
VASP energy in eV per atom: -3.32
Energy relative to the elements in eV per atom: -0.203

***

The following is a DFT calculation (PBE-GGA) of a geometry-optimized RbLiGeF6 structure.

Cell: 5.268 5.268 6.067 Å, 90.02 89.98 59.96°
Positions (direct):
Rb: 0.000 0.000 0.000
Li: 0.667 0.667 0.500
Ge: 0.333 0.333 0.500
F: 0.034 0.362 0.326
F: 0.362 0.034 0.674
F: 0.603 0.362 0.674
F: 0.034 0.604 0.674
F: 0.362 0.604 0.326
F: 0.604 0.034 0.326

Calculated values
VASP energy in eV per atom: -4.84
Formation energy without anion corrections in meV/atom: -2755